First-principles (PBE) data for a relaxed La2TiTc2 crystal, as listed in Alexandria via LeMat-Bulk.

Output
The value obtained for the uncorrected energy is -7.5433 eV per atom. Its space group is P4/mbm, No. 127. As for the mass density: 7.6 g/cm3.

Unit cell a=6.7847 b=6.7847 c=4.9533 alpha=90.00 beta=90.00 gamma=90.00
Last column: nearest neighbours and their distance in Å.
Fractional coordinates of all 10 atoms:
La 0.3201 0.1799 0.5000  6 Tc 3.09-3.26, 1 La 3.45
La 0.1799 0.6799 0.5000  6 Tc 3.09-3.26, 1 La 3.45
La 0.8201 0.3201 0.5000  6 Tc 3.09-3.26, 1 La 3.45
Tc 0.1274 0.3726 0.0000  1 Tc 2.44, 2 Ti 2.67
Ti 0.5000 0.5000 0.0000  4 Tc 2.67
Tc 0.8726 0.6274 0.0000  1 Tc 2.44, 2 Ti 2.67
Ti 0.0000 0.0000 0.0000  4 Tc 2.67
Tc 0.6274 0.1274 0.0000  1 Tc 2.44, 2 Ti 2.67
Tc 0.3726 0.8726 0.0000  1 Tc 2.44, 2 Ti 2.67
La 0.6799 0.8201 0.5000  6 Tc 3.09-3.26, 1 La 3.45